No. 1
The following is a GGA-PBE calculation of NaNbPO4F after structural relaxation, from OQMD.

Computed properties:
For the total energy, the calculation gives -6.965 eV/atom. The symmetry is C2/m, No. 12.

Cell: 5.5047 5.5047 6.3612 Å, 103.25 103.25 75.43°
Positions (direct):
Na  0.2070  0.7930  0.0000
Na  0.7930  0.2070  0.0000
Nb  0.2175  0.2175  0.6422
Nb  0.7825  0.7825  0.3578
P  0.3467  0.3467  0.2301
P  0.6533  0.6533  0.7699
O  0.1227  0.4836  0.3505
O  0.2373  0.2373  0.9892
O  0.4778  0.4778  0.7723
O  0.4836  0.1227  0.3505
O  0.5164  0.8773  0.6495
O  0.5222  0.5222  0.2277
O  0.7627  0.7627  0.0108
O  0.8773  0.5164  0.6495
F  0.0206  0.0206  0.3186
F  0.9794  0.9794  0.6814

No. 2
The following is a GGA-PBE calculation of Na3Bi2Au3 after structural relaxation, from OQMD.

Computed properties:
For the total energy, the calculation gives -3.037 eV/atom. The symmetry is R-3m, No. 166.

Cell: 7.9427 7.9427 7.9427 Å, 42.58 42.58 42.58°
Positions (direct):
Na  0.0000  0.0000  0.0000
Na  0.4259  0.4259  0.4259
Na  0.5741  0.5741  0.5741
Bi  0.2744  0.2744  0.2744
Bi  0.7256  0.7256  0.7256
Au  0.0000  0.0000  0.5000
Au  0.0000  0.5000  0.0000
Au  0.5000  0.0000  0.0000

No. 3
The following is a GGA-PBE calculation of NaYCoSe3 after structural relaxation, from OQMD.

Computed properties:
For the total energy, the calculation gives -5.307 eV/atom. The symmetry is Pnma, No. 62. Its energy above the most stable polymorph in this dataset is 0.15 eV/f.u.

Cell: 10.7898 3.9911 13.3447 Å, 90.00 90.00 90.00°
Positions (direct):
Na  0.2183  0.2500  0.0027
Na  0.2817  0.7500  0.5027
Na  0.7183  0.2500  0.4973
Na  0.7817  0.7500  0.9973
Y  0.0155  0.7500  0.7405
Y  0.4845  0.2500  0.2405
Y  0.5155  0.7500  0.7595
Y  0.9845  0.2500  0.2595
Co  0.2357  0.7500  0.2204
Co  0.2643  0.2500  0.7204
Co  0.7357  0.7500  0.2796
Co  0.7643  0.2500  0.7796
Se  0.0552  0.7500  0.1177
Se  0.0960  0.2500  0.6046
Se  0.2386  0.2500  0.3274
Se  0.2614  0.7500  0.8274
Se  0.4040  0.7500  0.1046
Se  0.4448  0.2500  0.6177
Se  0.5552  0.7500  0.3823
Se  0.5960  0.2500  0.8954
Se  0.7386  0.2500  0.1726
Se  0.7614  0.7500  0.6726
Se  0.9040  0.7500  0.3954
Se  0.9448  0.2500  0.8823

No. 4
The following is a GGA-PBE calculation of ErAgPbSe3 after structural relaxation, from OQMD.

Computed properties:
For the total energy, the calculation gives -4.558 eV/atom. The symmetry is C2/m, No. 12. Its energy above the most stable polymorph in this dataset is 0.03 eV/f.u.

Cell: 9.2235 9.2235 8.6917 Å, 102.76 102.76 25.58°
Positions (direct):
Er  0.1643  0.1643  0.0865
Er  0.8357  0.8357  0.9135
Ag  0.4732  0.4732  0.7881
Ag  0.5268  0.5268  0.2119
Pb  0.1333  0.1333  0.5716
Pb  0.8667  0.8667  0.4284
Se  0.0000  0.0000  0.0000
Se  0.3171  0.3171  0.6776
Se  0.3280  0.3280  0.1404
Se  0.5000  0.5000  0.5000
Se  0.6720  0.6720  0.8596
Se  0.6829  0.6829  0.3224

No. 5
The following is a GGA-PBE calculation of TbMg after structural relaxation, from OQMD.

Computed properties:
For the total energy, the calculation gives -3.018 eV/atom. The symmetry is P-6m2, No. 187.

Cell: 6.8430 6.8430 5.5209 Å, 90.00 90.00 120.00°
Positions (direct):
Tb  0.0000  0.0000  0.0000
Tb  0.3316  0.1658  0.5000
Tb  0.8342  0.1658  0.5000
Tb  0.8342  0.6684  0.5000
Mg  0.3333  0.6667  0.5000
Mg  0.5039  0.0077  0.0000
Mg  0.5039  0.4961  0.0000
Mg  0.9923  0.4961  0.0000

No. 6
The following is a GGA-PBE calculation of ScCdBi after structural relaxation, from OQMD.

Computed properties:
For the total energy, the calculation gives -3.965 eV/atom. The symmetry is F-43m, No. 216. Its energy above the most stable polymorph in this dataset is 0.00 eV/f.u.

Cell: 4.9253 4.9253 4.9253 Å, 60.00 60.00 60.00°
Positions (direct):
Sc  0.0000  0.0000  0.0000
Cd  0.2500  0.2500  0.2500
Bi  0.7500  0.7500  0.7500

No. 7
The following is a GGA-PBE calculation of InCoNiOs after structural relaxation, from OQMD.

Computed properties:
For the total energy, the calculation gives -6.326 eV/atom. The symmetry is F-43m, No. 216. Its energy above the most stable polymorph in this dataset is 0.00 eV/f.u.

Cell: 4.2876 4.2876 4.2876 Å, 60.00 60.00 60.00°
Positions (direct):
In  0.0000  0.0000  0.0000
Co  0.2500  0.2500  0.2500
Ni  0.7500  0.7500  0.7500
Os  0.5000  0.5000  0.5000

No. 8
The following is a GGA-PBE calculation of HfSnOs2 after structural relaxation, from OQMD.

Computed properties:
For the total energy, the calculation gives -8.740 eV/atom. The symmetry is F-43m, No. 216.

Cell: 4.6194 4.6194 4.6194 Å, 60.00 60.00 60.00°
Positions (direct):
Hf  0.0000  0.0000  0.0000
Sn  0.7500  0.7500  0.7500
Os  0.2500  0.2500  0.2500
Os  0.5000  0.5000  0.5000

Which of these has the highest total energy? TbMg

What is the total energy in the fourth record? -4.558 eV/atom